## Zr5Tl3 (PBE)

Data for a relaxed Zr5Tl3 crystal.

Properties
Its formation energy is -0.052 eV/atom. Its size of the total moment is 0.00 μB per formula unit. The calculation puts the density of states at the Fermi level at 9.04 states/eV/f.u.

Unit cell a=6.407 b=6.407 c=4.490 alpha=90.00 beta=90.00 gamma=95.94
Fractional positions:
Zr 0.000 0.000 0.000
Zr 0.000 0.500 0.000
Zr 0.252 0.252 0.500
Zr 0.500 0.000 0.000
Zr 0.748 0.748 0.500
Tl 0.237 0.763 0.500
Tl 0.500 0.500 0.000
Tl 0.763 0.237 0.500

=====

## PrZn5Pt2Au (PBE)

Data for a relaxed PrZn5Pt2Au crystal.

Properties
Its formation energy is -0.281 eV/atom. Its size of the total moment is 0.00 μB per formula unit. The calculation puts the density of states at the Fermi level at 3.58 states/eV/f.u.

Unit cell a=4.882 b=4.882 c=7.457 alpha=90.00 beta=90.00 gamma=90.00
Fractional positions:
Pr 0.000 0.000 0.000
Zn 0.000 0.500 0.308
Zn 0.000 0.500 0.692
Zn 0.500 0.000 0.308
Zn 0.500 0.000 0.692
Zn 0.500 0.500 0.000
Pt 0.500 0.500 0.319
Pt 0.500 0.500 0.681
Au 0.000 0.000 0.500

=====

## CaY2MgH (PBE)

Data for a relaxed CaY2MgH crystal.

Properties
Its size of the total moment is 1.46 μB per formula unit. The calculation puts the density of states at the Fermi level at 5.50 states/eV/f.u. The total energy comes out at -20.4 eV per cell.

Unit cell a=4.926 b=4.926 c=5.131 alpha=90.00 beta=90.00 gamma=90.00
Fractional positions:
Ca 0.000 0.000 0.000
Y 0.000 0.500 0.500
Y 0.500 0.000 0.500
Mg 0.500 0.500 0.000
H 0.000 0.000 0.500

=====

## Ce2SbAu (PBE)

Data for a relaxed Ce2SbAu crystal.

Properties
Its size of the total moment is 2.00 μB per formula unit. The uncorrected formation energy is -17.402 kcal/mol of atoms. The calculation puts the density of states at the Fermi level at 13.62 states/eV/f.u.

Unit cell a=12.219 b=12.219 c=4.638 alpha=90.00 beta=90.00 gamma=160.21
Fractional positions:
Ce 0.061 0.939 0.750
Ce 0.321 0.679 0.750
Ce 0.679 0.321 0.250
Ce 0.939 0.061 0.250
Sb 0.190 0.810 0.750
Sb 0.810 0.190 0.250
Au 0.458 0.542 0.750
Au 0.542 0.458 0.250

=====

## Ac3Hg2Pd6 (PBE)

Data for a relaxed Ac3Hg2Pd6 crystal.

Properties
Its formation energy is -0.677 eV/atom. Its size of the total moment is 0.00 μB per formula unit. The calculation puts the density of states at the Fermi level at 6.07 states/eV/f.u.

Unit cell a=8.759 b=8.759 c=8.759 alpha=109.47 beta=109.47 gamma=109.47
Fractional positions:
Ac 0.000 0.301 0.301
Ac 0.000 0.699 0.699
Ac 0.301 0.000 0.301
Ac 0.301 0.301 0.000
Ac 0.699 0.000 0.699
Ac 0.699 0.699 0.000
Hg 0.000 0.000 0.500
Hg 0.000 0.500 0.000
Hg 0.500 0.000 0.000
Hg 0.500 0.500 0.500
Pd 0.000 0.342 0.658
Pd 0.000 0.658 0.342
Pd 0.317 0.658 0.658
Pd 0.342 0.000 0.658
Pd 0.342 0.342 0.683
Pd 0.342 0.658 0.000
Pd 0.342 0.683 0.342
Pd 0.658 0.000 0.342
Pd 0.658 0.317 0.658
Pd 0.658 0.342 0.000
Pd 0.658 0.658 0.317
Pd 0.683 0.342 0.342

=====

## Al2OsPb (PBE)

Data for a relaxed Al2OsPb crystal.

Properties
Its formation energy is 0.571 eV/atom. Its size of the total moment is 0.00 μB per formula unit. The calculation puts the density of states at the Fermi level at 2.52 states/eV/f.u.

Unit cell a=3.338 b=4.539 c=4.763 alpha=90.00 beta=90.00 gamma=90.00
Fractional positions:
Al 0.000 0.000 0.000
Al 0.500 0.000 0.500
Os 0.000 0.500 0.500
Pb 0.500 0.500 0.000

=====

## HfNi3Cl (PBE)

Data for a relaxed HfNi3Cl crystal.

Properties
Its size of the total moment is 0.00 μB per formula unit. The uncorrected formation energy is 27.703 kcal/mol of atoms. The calculation puts the density of states at the Fermi level at 2.66 states/eV/f.u.

Unit cell a=4.687 b=4.687 c=4.687 alpha=90.00 beta=90.00 gamma=90.00
Fractional positions:
Hf 0.000 0.000 0.000
Ni 0.000 0.000 0.500
Ni 0.000 0.500 0.000
Ni 0.500 0.000 0.000
Cl 0.500 0.500 0.500

=====

## Be3BPb (PBE)

Data for a relaxed Be3BPb crystal.

Properties
Its formation energy is 2.151 eV/atom. Its size of the total moment is 0.00 μB per formula unit. The calculation puts the density of states at the Fermi level at 2.84 states/eV/f.u.

Unit cell a=4.608 b=4.608 c=4.608 alpha=90.00 beta=90.00 gamma=90.00
Fractional positions:
Be 0.000 0.000 0.500
Be 0.000 0.500 0.000
Be 0.500 0.000 0.000
B 0.500 0.500 0.500
Pb 0.000 0.000 0.000

=====

## BeTlPt (PBE)

Data for a relaxed BeTlPt crystal.

Properties
Its formation energy is -0.117 eV/atom. Its size of the total moment is 0.00 μB per formula unit. The calculation puts the density of states at the Fermi level at 1.34 states/eV/f.u.

Unit cell a=6.332 b=6.332 c=6.332 alpha=152.11 beta=152.11 gamma=39.85
Fractional positions:
Be 0.000 0.000 0.000
Tl 0.720 0.720 0.000
Pt 0.438 0.438 0.000

=====

## CsTl2RhCl8 (PBE)

Data for a relaxed CsTl2RhCl8 crystal.

Properties
Its size of the total moment is 0.00 μB per formula unit. The uncorrected formation energy is -20.379 kcal/mol of atoms. The calculation puts the density of states at the Fermi level at 5.41 states/eV/f.u.

Unit cell a=6.232 b=7.026 c=9.309 alpha=90.03 beta=90.48 gamma=113.05
Fractional positions:
Cs 0.000 0.000 0.000
Tl 0.001 0.500 0.252
Tl 0.999 0.500 0.748
Rh 0.000 0.000 0.500
Cl 0.224 0.799 0.502
Cl 0.240 0.222 0.678
Cl 0.241 0.222 0.325
Cl 0.282 0.659 0.001
Cl 0.718 0.341 0.999
Cl 0.759 0.778 0.675
Cl 0.760 0.778 0.322
Cl 0.776 0.201 0.498

=====

## Li2RuSe (PBE)

Data for a relaxed Li2RuSe crystal.

Properties
Its size of the total moment is 0.40 μB per formula unit. The uncorrected formation energy is -5.313 kcal/mol of atoms. The calculation puts the density of states at the Fermi level at 3.22 states/eV/f.u.

Unit cell a=4.650 b=4.650 c=4.650 alpha=134.44 beta=130.66 gamma=69.40
Fractional positions:
Li 0.000 0.000 0.000
Li 0.752 0.252 0.500
Ru 0.258 0.758 0.500
Se 0.503 0.503 0.000

=====

## Ac3YPb2 (PBE)

Data for a relaxed Ac3YPb2 crystal.

Properties
Its formation energy is -0.187 eV/atom. Its size of the total moment is 0.00 μB per formula unit. The calculation puts the density of states at the Fermi level at 6.91 states/eV/f.u.

Unit cell a=9.724 b=9.724 c=9.724 alpha=134.95 beta=72.06 gamma=126.99
Fractional positions:
Ac 0.043 0.750 0.293
Ac 0.250 0.250 0.000
Ac 0.457 0.750 0.707
Ac 0.543 0.250 0.293
Ac 0.750 0.750 0.000
Ac 0.957 0.250 0.707
Y 0.000 0.500 0.500
Y 0.500 0.000 0.500
Pb 0.140 0.181 0.321
Pb 0.360 0.681 0.041
Pb 0.640 0.319 0.959
Pb 0.860 0.819 0.679

=====

## HoPa2AgO8 (PBE)

Data for a relaxed HoPa2AgO8 crystal.

Properties
Its size of the total moment is 0.00 μB per formula unit. The uncorrected formation energy is -64.459 kcal/mol of atoms. The calculation puts the density of states at the Fermi level at 6.57 states/eV/f.u.

Unit cell a=6.612 b=6.612 c=6.612 alpha=131.81 beta=131.81 gamma=70.53
Fractional positions:
Ho 0.000 0.000 0.000
Pa 0.250 0.750 0.500
Pa 0.500 0.500 0.000
Ag 0.750 0.250 0.500
O 0.141 0.122 0.508
O 0.141 0.633 0.019
O 0.367 0.386 0.508
O 0.367 0.859 0.981
O 0.614 0.122 0.981
O 0.614 0.633 0.492
O 0.878 0.386 0.019
O 0.878 0.859 0.492

=====

## ScTc2Ir (PBE)

Data for a relaxed ScTc2Ir crystal.

Properties
Its formation energy is -0.015 eV/atom. Its size of the total moment is 0.00 μB per formula unit. The calculation puts the density of states at the Fermi level at 4.25 states/eV/f.u.

Unit cell a=9.038 b=9.038 c=9.038 alpha=18.23 beta=18.23 gamma=18.23
Fractional positions:
Sc 0.000 0.000 0.000
Tc 0.245 0.245 0.245
Tc 0.500 0.500 0.500
Ir 0.750 0.750 0.750

=====

## Rb2HfSbI6 (PBE)

Data for a relaxed Rb2HfSbI6 crystal.

Properties
Its size of the total moment is 3.00 μB per formula unit. The uncorrected formation energy is -17.119 kcal/mol of atoms. The calculation puts the density of states at the Fermi level at 0.00 states/eV/f.u.

Unit cell a=9.094 b=9.094 c=9.094 alpha=119.97 beta=119.97 gamma=90.06
Fractional positions:
Rb 0.250 0.750 0.500
Rb 0.750 0.250 0.500
Hf 0.000 0.000 0.000
Sb 0.500 0.500 0.000
I 0.223 0.223 0.000
I 0.223 0.223 0.446
I 0.223 0.777 0.000
I 0.777 0.223 0.000
I 0.777 0.777 0.000
I 0.777 0.777 0.554

=====

## ScZnIn (PBE)

Data for a relaxed ScZnIn crystal.

Properties
Its formation energy is -0.289 eV/atom. Its size of the total moment is 0.00 μB per formula unit. The calculation puts the density of states at the Fermi level at 1.70 states/eV/f.u.

Unit cell a=5.930 b=5.930 c=5.978 alpha=119.80 beta=119.80 gamma=43.61
Fractional positions:
Sc 0.182 0.182 0.124
Sc 0.818 0.818 0.876
Zn 0.147 0.147 0.592
Zn 0.853 0.853 0.408
In 0.484 0.484 0.739
In 0.516 0.516 0.261

=====

## RbIn3C (PBE)

Data for a relaxed RbIn3C crystal.

Properties
Its formation energy is 0.850 eV/atom. Its size of the total moment is 0.00 μB per formula unit. The calculation puts the density of states at the Fermi level at 3.33 states/eV/f.u.

Unit cell a=5.181 b=5.181 c=5.181 alpha=90.00 beta=90.00 gamma=90.00
Fractional positions:
Rb 0.000 0.000 0.000
In 0.000 0.500 0.500
In 0.500 0.000 0.500
In 0.500 0.500 0.000
C 0.500 0.500 0.500

=====

## Na2Li2Tl (PBE)

Data for a relaxed Na2Li2Tl crystal.

Properties
Its formation energy is -0.028 eV/atom. Its size of the total moment is 0.00 μB per formula unit. The calculation puts the density of states at the Fermi level at 2.62 states/eV/f.u.

Unit cell a=7.426 b=7.426 c=4.789 alpha=90.00 beta=90.00 gamma=90.00
Fractional positions:
Na 0.176 0.324 0.000
Na 0.324 0.824 0.000
Na 0.676 0.176 0.000
Na 0.824 0.676 0.000
Li 0.141 0.641 0.500
Li 0.359 0.141 0.500
Li 0.641 0.859 0.500
Li 0.859 0.359 0.500
Tl 0.000 0.000 0.500
Tl 0.500 0.500 0.500

=====

## BiPPd3 (PBE)

Data for a relaxed BiPPd3 crystal.

Properties
Its formation energy is -0.335 eV/atom. Its size of the total moment is 0.00 μB per formula unit. The calculation puts the density of states at the Fermi level at 2.26 states/eV/f.u.

Unit cell a=6.524 b=6.524 c=6.524 alpha=124.35 beta=87.24 gamma=118.94
Fractional positions:
Bi 0.287 0.037 0.250
Bi 0.713 0.963 0.750
P 0.000 0.500 0.500
P 0.500 0.500 0.000
Pd 0.182 0.000 0.682
Pd 0.182 0.500 0.182
Pd 0.267 0.517 0.750
Pd 0.733 0.483 0.250
Pd 0.818 0.000 0.318
Pd 0.818 0.500 0.818

=====

## La2ZnBi4 (PBE)

Data for a relaxed La2ZnBi4 crystal.

Properties
Its formation energy is -0.247 eV/atom. Its size of the total moment is 0.00 μB per formula unit. The calculation puts the density of states at the Fermi level at 6.26 states/eV/f.u.

Unit cell a=9.160 b=9.160 c=9.160 alpha=146.03 beta=146.03 gamma=48.80
Fractional positions:
La 0.132 0.132 0.000
La 0.868 0.868 0.000
Zn 0.500 0.500 0.000
Bi 0.000 0.500 0.500
Bi 0.328 0.328 0.000
Bi 0.500 0.000 0.500
Bi 0.672 0.672 0.000